# Ca2ZnHg3

A relaxed structure of Ca2ZnHg3 (GGA-PBE, the Alexandria database).

Unit cell a=6.0902 b=6.0902 c=9.1877 alpha=103.76 beta=103.76 gamma=106.38
Fractional positions:
Ca  0.2500  0.7500  0.5000
Ca  0.7535  0.7535  0.0000
Ca  0.7500  0.2500  0.5000
Ca  0.2465  0.2465  0.0000
Zn  0.6669  0.6669  0.3338
Zn  0.3331  0.3331  0.6662
Hg  0.3463  0.8264  0.1727
Hg  0.1736  0.6537  0.8273
Hg  0.6537  0.1736  0.8273
Hg  0.8264  0.3463  0.1727
Hg  0.1723  0.1723  0.3445
Hg  0.8277  0.8277  0.6555

Results
E: -1.4569 eV/atom
space group: No. 69
spin magnetization: 0.00 Bohr magnetons per cell

***

# Ca8Zn2Hg

A relaxed structure of Ca8Zn2Hg (GGA-PBE, the Alexandria database).

Unit cell a=6.1177 b=8.3353 c=8.3353 alpha=111.94 beta=99.78 gamma=99.78
Fractional positions:
Ca  0.5809  0.3358  0.0769
Ca  0.5809  0.0769  0.3358
Ca  0.1787  0.3702  0.3702
Ca  0.9869  0.2269  0.7769
Ca  0.9869  0.7769  0.2269
Ca  0.8021  0.6353  0.6353
Ca  0.3888  0.9300  0.6703
Ca  0.3888  0.6703  0.9300
Zn  0.4901  0.6915  0.3183
Zn  0.4901  0.3183  0.6915
Hg  0.1256  0.0016  0.0016

Results
E: -1.8580 eV/atom
space group: No. 8
spin magnetization: 0.00 Bohr magnetons per cell
E above lowest polymorph: 0.443 eV per formula unit

***

# Ca2ZnHg2

A relaxed structure of Ca2ZnHg2 (GGA-PBE, the Alexandria database).

Unit cell a=6.0627 b=6.0627 c=5.9139 alpha=59.16 beta=59.16 gamma=90.00
Fractional positions:
Zn  0.0000  0.0000  0.0000
Ca  0.7500  0.2500  0.5000
Ca  0.2500  0.7500  0.5000
Hg  0.3302  0.3302  0.3397
Hg  0.6698  0.6698  0.6603

Results
E: -1.3604 eV/atom
space group: No. 139
spin magnetization: 0.00 Bohr magnetons per cell
E above lowest polymorph: 1.189 eV per formula unit

***

# Ca4ZnHg

A relaxed structure of Ca4ZnHg (GGA-PBE, the Alexandria database).

Unit cell a=6.7551 b=6.7551 c=6.7551 alpha=60.00 beta=60.00 gamma=60.00
Fractional positions:
Ca  0.8750  0.3750  0.3750
Ca  0.3750  0.3750  0.8750
Ca  0.3750  0.8750  0.3750
Ca  0.3750  0.3750  0.3750
Zn  0.0000  0.0000  0.0000
Hg  0.7500  0.7500  0.7500

Results
E: -1.2588 eV/atom
space group: No. 216
spin magnetization: 0.00 Bohr magnetons per cell
E above lowest polymorph: 3.707 eV per formula unit

***

Number 1: density of states at the Fermi level 0.535 states/eV/atom, formation enthalpy at 0 K -0.43 eV/atom, mass density 8.3 g/cm³. Number 2: density of states at the Fermi level 0.981 states/eV/atom, formation enthalpy at 0 K -0.14 eV/atom, mass density 2.9 g/cm³. Number 3: density of states at the Fermi level 0.448 states/eV/atom, formation enthalpy at 0 K -0.18 eV/atom, mass density 6.1 g/cm³. Number 4: density of states at the Fermi level 1.134 states/eV/atom, formation enthalpy at 0 K 0.34 eV/atom, mass density 3.2 g/cm³.